Computed, not measured: a PBEsol-optimized structure of HPbBrO at the SCAN level of DFT.

The calculation puts the uncorrected energy at -27.3428 eV/atom. For the calculated density, the calculation gives 6.84 Mg/m³. The value obtained for the density of states at the Fermi level is 0.000 states/eV/atom.

It has space group Pnma (No. 62), with a = 7.303 Å, b = 4.044 Å, c = 9.994 Å, α = 90.00°, β = 90.00° and γ = 90.00°. The distinct sites, in fractional coordinates, are H at (0.209, 0.250, 0.116), Pb at (0.198, 0.750, 0.915), Br at (0.056, 0.250, 0.679) and O at (0.124, 0.250, 0.039).

---

Computed, not measured: a PBEsol-optimized structure of ScZn2Tc at the SCAN level of DFT.

As for the formation energy: -300 meV per atom. The calculation puts the uncorrected energy at -19.3820 eV/atom. For the calculated density, the calculation gives 7.65 Mg/m³. The value obtained for the density of states at the Fermi level is 0.391 states/eV/atom.

It has space group I4/mmm (No. 139), with a = 3.863 Å, b = 3.863 Å, c = 7.965 Å, α = 90.00°, β = 90.00° and γ = 90.00°. The distinct sites, in fractional coordinates, are Sc at (0.000, 0.000, 0.000), Zn at (0.000, 0.500, 0.250) and Tc at (0.000, 0.000, 0.500).